VASP calculation (PBE) on LiNdNiGe after structural relaxation.

The value obtained for the formation energy is -0.49 eV per atom. The value obtained for the final energy is -4.757 eV/atom. For the magnetic moment, the calculation gives 0.0 Bohr magnetons per cell. The crystal system is cubic.

The structure belongs to space group F-43m (No. 216); the cell edges are 6.469, 6.469 and 6.469 Å and the angles 90.00°, 90.00° and 90.00°. Symmetry generates all atoms from Li at (0.000, 0.000, 0.000), Nd at (0.250, 0.250, 0.250), Ni at (0.000, 0.000, 0.500) and Ge at (0.250, 0.250, 0.750).

***

VASP calculation (PBE) on ErZr3Te6 after structural relaxation.

The value obtained for the final energy is -5.822 eV/atom. For the magnetic moment, the calculation gives 0.0 Bohr magnetons per cell. The value obtained for the formation energy (no corrections) is -0.92 eV/atom. For the density of states at the Fermi level, the calculation gives 0.74 states/eV per atom. The crystal system is monoclinic.

The structure belongs to space group P2_1/m (No. 11); the cell edges are 11.924, 4.023 and 12.481 Å and the angles 90.00°, 109.28° and 90.00°. Symmetry generates all atoms from Er at (0.052, 0.250, 0.198), Zr at (0.120, 0.250, 0.567), Zr at (0.319, 0.750, 0.987), Zr at (0.443, 0.250, 0.367), Te at (0.105, 0.750, 0.397), Te at (0.120, 0.250, 0.971), Te at (0.187, 0.750, 0.746), Te at (0.275, 0.750, 0.217), Te at (0.375, 0.250, 0.573) and Te at (0.486, 0.250, 0.125).

***

VASP calculation (PBE) on LiMgCd2H after structural relaxation.

The value obtained for the final energy is -1.777 eV/atom. For the magnetic moment, the calculation gives 0.0 Bohr magnetons per cell. For the density of states at the Fermi level, the calculation gives 0.33 states/eV per atom. The crystal system is tetragonal.

The structure belongs to space group P4/mmm (No. 123); the cell edges are 5.042, 5.042 and 3.368 Å and the angles 90.00°, 90.00° and 90.00°. Symmetry generates all atoms from Li at (0.000, 0.000, 0.000), Mg at (0.500, 0.500, 0.000), Cd at (0.000, 0.500, 0.500) and H at (0.000, 0.000, 0.500).

***

VASP calculation (PBE) on NbAl2ZnSe after structural relaxation.

The value obtained for the final energy is -3.812 eV/atom. For the magnetic moment, the calculation gives 2.0 Bohr magnetons per cell. The value obtained for the formation energy (no corrections) is 0.65 eV/atom. For the density of states at the Fermi level, the calculation gives 0.82 states/eV per atom. The crystal system is tetragonal.

The structure belongs to space group P4/mmm (No. 123); the cell edges are 4.497, 4.497 and 5.166 Å and the angles 90.00°, 90.00° and 90.00°. Symmetry generates all atoms from Nb at (0.000, 0.000, 0.000), Al at (0.000, 0.500, 0.500), Zn at (0.000, 0.000, 0.500) and Se at (0.500, 0.500, 0.000).

***

VASP calculation (PBE) on LaSc2Co2 after structural relaxation.

The value obtained for the formation energy is -0.09 eV per atom. The value obtained for the final energy is -6.451 eV/atom. For the magnetic moment, the calculation gives 0.7 Bohr magnetons per cell. For the density of states at the Fermi level, the calculation gives 0.84 states/eV per atom. The crystal system is tetragonal. As for the energy above the most stable polymorph in this dataset: 92 meV per atom.

The structure belongs to space group P4/mbm (No. 127); the cell edges are 7.586, 7.586 and 3.341 Å and the angles 90.00°, 90.00° and 90.00°. Symmetry generates all atoms from La at (0.000, 0.000, 0.000), Sc at (0.141, 0.359, 0.500) and Co at (0.148, 0.648, 0.000).

***

VASP calculation (PBE) on NaSr2AlPt after structural relaxation.

The value obtained for the formation energy is -0.43 eV per atom. The value obtained for the final energy is -3.319 eV/atom. For the magnetic moment, the calculation gives 0.0 Bohr magnetons per cell. For the density of states at the Fermi level, the calculation gives 0.60 states/eV per atom. The crystal system is tetragonal.

The structure belongs to space group P4/mmm (No. 123); the cell edges are 5.999, 5.999 and 4.855 Å and the angles 90.00°, 90.00° and 90.00°. Symmetry generates all atoms from Na at (0.000, 0.000, 0.000), Sr at (0.000, 0.500, 0.500), Al at (0.500, 0.500, 0.000) and Pt at (0.500, 0.500, 0.500).

***

VASP calculation (PBE) on Rb2SiAuSe4 after structural relaxation.

The value obtained for the final energy is -3.738 eV/atom. For the magnetic moment, the calculation gives 0.0 Bohr magnetons per cell. The value obtained for the formation energy (no corrections) is -0.67 eV/atom. For the density of states at the Fermi level, the calculation gives 0.36 states/eV per atom. The crystal system is orthorhombic.

The structure belongs to space group Fddd (No. 70, origin choice 2); the cell edges are 6.658, 14.226 and 22.403 Å and the angles 90.00°, 90.00° and 90.00°. Symmetry generates all atoms from Rb at (0.125, 0.125, 0.304), Si at (0.125, 0.125, 0.625), Au at (0.125, 0.125, 0.125) and Se at (0.088, 0.279, 0.821).

***

VASP calculation (PBE) on AcTb2Sb after structural relaxation.

The value obtained for the final energy is -4.809 eV/atom. For the magnetic moment, the calculation gives 0.0 Bohr magnetons per cell. The value obtained for the formation energy (no corrections) is -0.44 eV/atom. For the density of states at the Fermi level, the calculation gives 1.10 states/eV per atom. The crystal system is tetragonal. As for the energy above the most stable polymorph in this dataset: 36 meV per atom.

The structure belongs to space group P4/mmm (No. 123); the cell edges are 5.004, 5.004 and 4.905 Å and the angles 90.00°, 90.00° and 90.00°. Symmetry generates all atoms from Ac at (0.000, 0.000, 0.000), Tb at (0.000, 0.500, 0.500) and Sb at (0.500, 0.500, 0.000).

***

VASP calculation (PBE) on DyPuHSe2 after structural relaxation.

The value obtained for the final energy is -7.211 eV/atom. For the magnetic moment, the calculation gives 10.7 Bohr magnetons per cell. For the density of states at the Fermi level, the calculation gives 2.16 states/eV per atom. The crystal system is tetragonal.

The structure belongs to space group P4/nmm (No. 129, origin choice 2); the cell edges are 4.048, 4.048 and 12.521 Å and the angles 90.00°, 90.00° and 90.00°. Symmetry generates all atoms from Dy at (0.250, 0.250, 0.110), Pu at (0.250, 0.250, 0.593), H at (0.250, 0.750, 0.500), Se at (0.250, 0.250, 0.336) and Se at (0.250, 0.250, 0.875).

***

VASP calculation (PBE) on Ga4Se after structural relaxation.

The value obtained for the final energy is -2.671 eV/atom. For the magnetic moment, the calculation gives 0.0 Bohr magnetons per cell. The value obtained for the formation energy (no corrections) is 0.45 eV/atom. For the density of states at the Fermi level, the calculation gives 0.75 states/eV per atom. The crystal system is cubic.

The structure belongs to space group Pm-3m (No. 221); the cell edges are 5.207, 5.207 and 5.207 Å and the angles 90.00°, 90.00° and 90.00°. Symmetry generates all atoms from Ga at (0.000, 0.000, 0.000), Ga at (0.000, 0.500, 0.500) and Se at (0.500, 0.500, 0.500).

***

VASP calculation (PBE) on YSc3 after structural relaxation.

The value obtained for the formation energy is 0.12 eV per atom. The value obtained for the final energy is -6.246 eV/atom. For the magnetic moment, the calculation gives 0.0 Bohr magnetons per cell. For the density of states at the Fermi level, the calculation gives 2.29 states/eV per atom. The crystal system is cubic. As for the energy above the most stable polymorph in this dataset: 100 meV per atom.

The structure belongs to space group Fm-3m (No. 225); the cell edges are 7.513, 7.513 and 7.513 Å and the angles 90.00°, 90.00° and 90.00°. Symmetry generates all atoms from Y at (0.000, 0.000, 0.000), Sc at (0.000, 0.000, 0.500) and Sc at (0.250, 0.250, 0.250).

***

VASP calculation (PBE) on ReNiSe after structural relaxation.

The value obtained for the final energy is -6.771 eV/atom. For the magnetic moment, the calculation gives 0.0 Bohr magnetons per cell. The value obtained for the formation energy (no corrections) is 0.47 eV/atom. For the density of states at the Fermi level, the calculation gives 1.09 states/eV per atom. The crystal system is cubic. As for the energy above the most stable polymorph in this dataset: 556 meV per atom.

The structure belongs to space group F-43m (No. 216); the cell edges are 5.816, 5.816 and 5.816 Å and the angles 90.00°, 90.00° and 90.00°. Symmetry generates all atoms from Re at (0.000, 0.000, 0.000), Ni at (0.250, 0.250, 0.750) and Se at (0.250, 0.250, 0.250).

***

Q: Look up the final energy of the tenth one.
A: -2.671 eV/atom

***

Q: Among the records above, which one has the highest magnetic moment?
A: DyPuHSe2

***

Q: Which value of magnetic moment does entry 11 give?
A: 0.0 Bohr magnetons per cell